Entry 1:
Below is a relaxed Sm5Dy3Y crystal, with properties calculated at the PBE level.

a = 6.7542 Å, b = 8.8633 Å, c = 11.5619 Å
α = 108.49°, β = 90.00°, γ = 112.40°
Last column: nearest neighbours and their distance in Å.
Atoms (fractional coordinates):
Sm 0.3127 0.0000 0.7500  1 Y 3.04, 2 Sm 3.05
Sm 0.6873 0.0000 0.2500  1 Y 3.04, 2 Sm 3.05
Sm 0.6086 0.2202 0.0498  4 Sm 3.39-3.62, 5 Dy 3.50-3.79, 1 Y 3.76
Sm 0.0785 0.3454 0.3492  2 Sm 3.05-3.40, 2 Dy 3.33
Sm 0.7331 0.6546 0.1508  2 Sm 3.05-3.40, 2 Dy 3.33
Sm 0.3914 0.7798 0.9502  4 Sm 3.39-3.62, 5 Dy 3.50-3.79, 1 Y 3.76
Sm 0.2669 0.3454 0.8492  2 Sm 3.05-3.40, 2 Dy 3.33
Sm 0.3884 0.7798 0.4502  4 Sm 3.39-3.62, 5 Dy 3.50-3.79, 1 Y 3.76
Sm 0.6116 0.2202 0.5498  4 Sm 3.39-3.62, 5 Dy 3.50-3.79, 1 Y 3.76
Sm 0.9215 0.6546 0.6508  2 Sm 3.05-3.40, 2 Dy 3.33
Y 0.2379 0.0000 0.2500  1 Sm 3.04, 2 Dy 3.31
Y 0.7621 0.0000 0.7500  1 Sm 3.04, 2 Dy 3.31
Dy 0.1593 0.5211 0.1289  7 Sm 3.33-3.65, 1 Dy 3.51
Dy 0.0000 0.0000 0.5000  2 Y 3.31, 2 Sm 3.58
Dy 0.3619 0.5211 0.6289  7 Sm 3.33-3.65, 1 Dy 3.51
Dy 0.0000 0.0000 0.0000  2 Y 3.31, 2 Sm 3.58
Dy 0.6381 0.4789 0.3711  7 Sm 3.33-3.65, 1 Dy 3.51
Dy 0.8407 0.4789 0.8711  7 Sm 3.33-3.65, 1 Dy 3.51

Fermi-level density of states	1.46	states/eV per atom
DFT formation energy	0.18	eV per atom

Entry 2:
Below is a relaxed BaTlP3 crystal, with properties calculated at the PBE level.

a = 5.7656 Å, b = 5.7656 Å, c = 5.7656 Å
α = 90.00°, β = 90.00°, γ = 90.00°
Last column: nearest neighbours and their distance in Å.
Atoms (fractional coordinates):
P 0.5000 0.0000 0.0000  2 Ba 2.88
P 0.0000 0.0000 0.5000  2 Ba 2.88
P 0.0000 0.5000 0.0000  2 Ba 2.88
Ba 0.0000 0.0000 0.0000  6 P 2.88
Tl 0.5000 0.5000 0.5000  12 P 4.08

Fermi-level density of states	0.99	states/eV per atom
DFT formation energy	1.13	eV per atom

Entry 3:
Below is a relaxed Pr3NdSc crystal, with properties calculated at the PBE level.

a = 6.9027 Å, b = 11.2418 Å, c = 11.2814 Å
α = 51.04°, β = 89.30°, γ = 84.39°
Last column: nearest neighbours and their distance in Å.
Atoms (fractional coordinates):
Nd 0.1883 0.9053 0.1508  4 Nd 3.57-3.69, 8 Pr 3.64-3.81
Nd 0.8117 0.0947 0.8492  4 Nd 3.57-3.69, 8 Pr 3.64-3.81
Nd 0.7095 0.7914 0.2513  3 Nd 3.57-3.69, 9 Pr 3.62-3.78
Nd 0.2905 0.2086 0.7487  3 Nd 3.57-3.69, 9 Pr 3.62-3.78
Pr 0.0889 0.6149 0.5593  2 Sc 3.55-3.58, 7 Pr 3.60-3.87, 3 Nd 3.66-3.73
Pr 0.3930 0.5092 0.3413  2 Sc 3.49-3.57, 7 Pr 3.62-3.86, 3 Nd 3.62-3.73
Pr 0.9111 0.3851 0.4407  2 Sc 3.55-3.58, 7 Pr 3.60-3.87, 3 Nd 3.66-3.73
Pr 0.9975 0.3239 0.9540  4 Sc 3.45-3.52, 5 Pr 3.59-3.67, 3 Nd 3.77-3.81
Pr 0.6070 0.4908 0.6587  2 Sc 3.49-3.57, 7 Pr 3.62-3.86, 3 Nd 3.62-3.73
Pr 0.5098 0.1963 0.0537  3 Sc 3.44-3.56, 5 Pr 3.59-3.67, 4 Nd 3.69-3.70
Pr 0.4902 0.8037 0.9463  3 Sc 3.44-3.56, 5 Pr 3.59-3.67, 4 Nd 3.69-3.70
Pr 0.4194 0.8916 0.4540  7 Pr 3.46-3.66, 3 Sc 3.53-3.71, 2 Nd 3.63-3.70
Pr 0.5806 0.1084 0.5460  7 Pr 3.46-3.66, 3 Sc 3.53-3.71, 2 Nd 3.63-3.70
Pr 0.8992 0.0198 0.3473  7 Pr 3.47-3.66, 3 Sc 3.56-3.80, 2 Nd 3.68-3.70
Pr 0.0025 0.6761 0.0460  4 Sc 3.45-3.52, 5 Pr 3.59-3.67, 3 Nd 3.77-3.81
Pr 0.1008 0.9802 0.6527  7 Pr 3.47-3.66, 3 Sc 3.56-3.80, 2 Nd 3.68-3.70
Sc 0.7827 0.7017 0.7566  9 Pr 3.45-3.80, 3 Sc 3.46-3.76
Sc 0.6787 0.4121 0.1414  4 Sc 3.39-3.76, 8 Pr 3.44-3.71
Sc 0.3213 0.5879 0.8586  4 Sc 3.39-3.76, 8 Pr 3.44-3.71
Sc 0.2173 0.2983 0.2434  9 Pr 3.45-3.80, 3 Sc 3.46-3.76

Fermi-level density of states	1.63	states/eV per atom
DFT formation energy	0.06	eV per atom

The records above give, respectively, total energy values of -84.582, -14.871, -100.647 eV for the cell shown.